1.
SmThS2N | Alexandria | PBE-GGA | relaxed; uncorrected energy = -76.92 eV per cell
1.0
-3.100 1.906 1.654
-1.148 -3.398 1.765
7.985 3.177 11.311
Sm Th S N
2 2 4 2
Cartesian
-0.586 1.336 2.193
6.447 1.094 10.828
3.128 2.814 7.454
2.733 -0.384 5.567
4.988 0.513 8.760
0.161 -1.407 1.923
5.700 3.837 11.097
0.874 1.917 4.260
3.993 1.588 5.656
1.869 0.842 7.365

***

2.
Sm8Tl3S3N | Alexandria | PBE-GGA | relaxed; uncorrected energy = -81.90 eV per cell
1.0
7.841 -0.004 -0.002
-3.924 6.803 -0.031
0.000 -4.509 7.889
Sm Tl S N
8 3 3 1
Cartesian
-0.002 2.274 2.313
3.920 0.017 5.543
3.918 2.489 2.451
-0.001 -0.198 5.404
6.068 -1.239 2.468
-2.151 3.529 5.388
1.773 -1.237 2.469
2.144 3.527 5.387
0.000 0.000 0.000
-1.962 3.402 -0.016
1.959 3.400 -0.017
3.921 -2.256 3.943
1.959 1.145 3.928
-1.962 1.147 3.929
0.000 -2.254 3.944

***

3.
SmUS2N | Alexandria | PBE-GGA | relaxed; uncorrected energy = -82.53 eV per cell
1.0
3.852 0.000 0.000
0.000 3.852 0.000
0.000 0.000 14.090
Sm U S N
2 2 4 2
Cartesian
1.926 0.000 1.740
0.000 1.926 12.350
1.926 0.000 8.220
0.000 1.926 5.870
0.000 1.926 9.663
0.000 1.926 1.271
1.926 0.000 12.819
1.926 0.000 4.427
0.000 0.000 7.045
1.926 1.926 7.045

***

4.
Sm2ZrS2N2 | Alexandria | PBE-GGA | relaxed; uncorrected energy = -54.69 eV per cell
1.0
-2.439 1.054 3.302
-3.434 -0.188 -2.477
2.142 -7.367 1.214
Sm Zr S N
2 1 2 2
Cartesian
-0.607 -5.301 1.243
-3.124 -1.200 0.795
0.000 0.000 0.000
-0.289 -2.522 0.591
-3.442 -3.979 1.447
-1.717 -0.094 -1.238
-1.220 0.527 1.651

***

Q: Which formula does entry 4 have?
A: Sm2ZrS2N2

***

Q: Number 4 is which compound?
A: Sm2ZrS2N2